This record from Alexandria via LeMat-Bulk describes an optimized crystal structure of Na3Mn2Br3O2. The functional is PBE with a Hubbard U.

abc: 12.396 12.396 12.396
angles: 160.62 160.62 27.54
Fractional coordinates of all 10 atoms:
1 Na 0.000 0.000 0.000
2 Na 0.373 0.373 0.000
3 Na 0.627 0.627 0.000
4 Mn 0.250 0.750 0.500
5 Mn 0.750 0.250 0.500
6 Br 0.127 0.127 0.000
7 Br 0.500 0.500 0.000
8 Br 0.873 0.873 0.000
9 O 0.272 0.272 0.000
10 O 0.728 0.728 0.000

Crystal system: tetragonal
VASP energy, eV/cell: -48.8



This record from Alexandria via LeMat-Bulk describes an optimized crystal structure of NaMnBr2O. The functional is PBE with a Hubbard U.

abc: 5.458 5.458 3.745
angles: 90.00 90.00 90.00
Fractional coordinates of all 5 atoms:
1 Na 0.000 0.000 0.000
2 Mn 0.500 0.500 0.500
3 Br 0.000 0.500 0.500
4 Br 0.500 0.000 0.500
5 O 0.500 0.500 0.000

Crystal system: tetragonal
VASP energy, eV/cell: -22.5



no.,mass density (kg/m³)
1,3569
2,3777